Here is an optimized crystal structure of Ba2As4Rh5 from Alexandria via LeMat-Bulk. Energies are from PBE-GGA.

Values from the calculation:
The value obtained for the total energy is -6.05 eV/atom. The calculation puts the total magnetization at 0.00 Bohr magnetons per cell. The theoretical density comes out at 7.98 g cm⁻³.

Unit cell a=5.792 b=6.123 c=7.811 alpha=79.90 beta=68.24 gamma=61.77
Element x y z (fractional)
1 Rh 0.750 0.500 0.500
2 Rh 0.500 0.000 0.000
3 Rh 0.000 0.500 0.000
4 Rh 0.500 0.500 0.000
5 Rh 0.250 0.500 0.500
6 As 0.538 0.673 0.251
7 As 0.789 0.673 0.749
8 As 0.211 0.327 0.251
9 As 0.462 0.327 0.749
10 Ba 0.864 0.000 0.272
11 Ba 0.136 0.000 0.728

***

Here is an optimized crystal structure of RbHo4TmS8 from Alexandria via LeMat-Bulk. Energies are from PBE-GGA.

Values from the calculation:
The value obtained for the raw formation energy is -1898 meV per atom. The calculation puts the total magnetization at 0.00 Bohr magnetons per cell. The theoretical density comes out at 4.94 g cm⁻³.

Unit cell a=8.240 b=8.240 c=8.208 alpha=59.87 beta=59.87 gamma=60.00
Element x y z (fractional)
1 S 0.758 0.758 0.256
2 S 0.808 0.229 0.734
3 S 0.228 0.758 0.256
4 S 0.229 0.229 0.734
5 S 0.229 0.808 0.734
6 S 0.757 0.757 0.728
7 S 0.231 0.231 0.306
8 S 0.758 0.228 0.256
9 Ho 0.005 0.005 0.505
10 Ho 0.005 0.486 0.505
11 Ho 0.625 0.625 0.125
12 Ho 0.486 0.005 0.505
13 Tm 0.004 0.004 0.987
14 Rb 0.376 0.376 0.871

***

Here is an optimized crystal structure of KSrSc from Alexandria via LeMat-Bulk. Energies are from PBE-GGA.

Values from the calculation:
The value obtained for the excess energy over the best structure of this formula in the dataset is 45.5 kJ per mole of atoms. The calculation puts the total magnetization at 1.93 Bohr magnetons per cell. The theoretical density comes out at 1.68 g cm⁻³.

Unit cell a=6.220 b=6.220 c=6.220 alpha=60.00 beta=60.00 gamma=60.00
Each line ends with the local moment (μB).
Element x y z (fractional)
1 Sc 0.750 0.750 0.750  0.84
2 K 0.500 0.500 0.500  0.02
3 Sr 0.000 0.000 0.000  0.07

***

Here is an optimized crystal structure of Li2LaPaSe4 from Alexandria via LeMat-Bulk. Energies are from PBE-GGA.

Values from the calculation:
The value obtained for the raw formation energy is -1471 meV per atom. The calculation puts the total magnetization at 1.86 Bohr magnetons per cell. The theoretical density comes out at 5.91 g cm⁻³.

Unit cell a=4.120 b=7.260 c=7.002 alpha=110.07 beta=90.00 gamma=90.00
Each line ends with the local moment (μB).
Element x y z (fractional)
1 Se 0.000 0.255 0.738  -0.02
2 Se 0.000 0.745 0.262  -0.02
3 Se 0.500 0.731 0.736  -0.01
4 Se 0.500 0.269 0.264  -0.01
5 La 0.000 0.000 0.000  0.12
6 Pa 0.500 0.500 0.000  1.33
7 Li 0.000 0.500 0.500  0.00
8 Li 0.500 0.000 0.500  0.00